Nd3Ho6Tm2Sc GGA-PBE relaxed; formation enthalpy at 0 K = 0.03 eV/atom; N(E_F) = 17.0 states/eV per cell; size of the total moment = 0.0 μB/f.u.
1.0
6.135 0.000 -0.006
-3.066 5.314 -0.006
-1.012 -1.752 11.523
Nd Tm Ho Sc
3 2 6 1
Direct
0.166 0.834 0.500
0.834 0.166 0.500
0.500 0.500 0.500
0.666 0.334 0.000
0.334 0.666 0.000
0.411 0.080 0.243
0.920 0.589 0.757
0.251 0.251 0.757
0.589 0.920 0.757
0.749 0.749 0.243
0.080 0.411 0.243
0.000 0.000 0.000

Nb6TcMo GGA-PBE relaxed; formation enthalpy at 0 K = -0.15 eV/atom; E above lowest polymorph = 0.00 eV per formula unit; N(E_F) = 6.4 states/eV per cell; size of the total moment = 0.0 μB/f.u.
1.0
4.396 0.000 1.324
-0.399 4.377 1.324
0.188 0.205 7.336
Mo Nb Tc
1 6 1
Direct
0.500 0.500 0.000
0.879 0.379 0.241
0.621 0.121 0.759
0.121 0.621 0.759
0.379 0.879 0.241
0.749 0.749 0.503
0.251 0.251 0.497
0.000 0.000 0.000

SrAs2Pd5 GGA-PBE relaxed; formation enthalpy at 0 K = -0.59 eV/atom; N(E_F) = 5.3 states/eV per cell; size of the total moment = 0.0 μB/f.u.
1.0
-1.621 3.155 -2.154
-2.956 -2.362 -5.233
-6.413 -0.054 0.750
Pd Sr As
5 1 2
Direct
0.652 0.156 0.540
0.652 0.540 0.156
0.348 0.844 0.460
0.348 0.460 0.844
0.000 0.500 0.500
0.000 0.000 0.000
0.247 0.253 0.253
0.753 0.747 0.747

La5RhPb2 GGA-PBE relaxed; formation enthalpy at 0 K = -0.62 eV/atom; N(E_F) = 18.2 states/eV per cell; size of the total moment = 0.0 μB/f.u.
1.0
-1.139 2.265 4.157
-7.317 -4.112 0.235
5.508 -9.419 6.642
Rh La Pb
2 10 4
Direct
0.000 0.500 0.500
0.000 0.000 0.000
0.000 0.127 0.801
0.500 0.809 0.934
0.000 0.500 0.000
0.000 0.373 0.301
0.000 0.627 0.699
0.000 0.873 0.199
0.000 0.000 0.500
0.500 0.191 0.066
0.500 0.691 0.434
0.500 0.309 0.566
0.500 0.585 0.172
0.500 0.415 0.828
0.500 0.915 0.672
0.500 0.085 0.328

SiNi2Hg GGA-PBE relaxed; energy relative to the elements, uncorrected = -0.074 eV/atom; E above lowest polymorph = 0.46 eV per formula unit; N(E_F) = 1.5 states/eV per cell; size of the total moment = 0.0 μB/f.u.
1.0
-1.673 -1.878 -1.338
0.629 -2.254 2.378
-4.890 2.051 3.238
Si Ni Hg
1 2 1
Direct
0.000 0.625 0.286
0.000 0.125 0.042
0.500 0.125 0.407
0.500 0.625 0.765

GeP2W GGA-PBE relaxed; formation enthalpy at 0 K = 0.78 eV/atom; N(E_F) = 3.8 states/eV per cell; size of the total moment = 0.0 μB/f.u.
1.0
-0.754 0.512 -3.099
-1.045 -2.446 -1.833
-7.978 0.962 0.416
W P Ge
1 2 1
Direct
0.000 0.000 0.000
0.900 0.900 0.299
0.100 0.100 0.701
0.500 0.500 0.500